The following is a GGA-PBE calculation of a geometry-optimized Er2IrS structure, from Alexandria via LeMat-Bulk.

Structure (POSCAR):
```
Er2IrS
1.0
1.738 1.004 8.641
-1.738 1.004 8.641
0.000 -2.007 8.641
Er Ir S
2 1 1
direct
0.099 0.099 0.099
0.901 0.901 0.901
0.000 0.000 0.000
0.500 0.500 0.500
```

Output
Magnetic moment = 0.1 Bohr magnetons per cell
Formation energy (no corrections) = -465 meV per atom
Space-group type = R-3m, No. 166